{
  "formula": "Pm6DyGa2",
  "functional": "PBE",
  "state": "optimized geometry",
  "lattice_angstrom": [[6.374, -1.876, 0.000], [6.374, 1.876, 0.000], [-4.105, 0.000, 11.282]],
  "species": ["Pm", "Pm", "Pm", "Pm", "Pm", "Pm", "Dy", "Ga", "Ga"],
  "fractional_positions": [[0.027, 0.027, 0.323], [0.310, 0.310, 0.125], [0.311, 0.311, 0.408], [0.689, 0.689, 0.592], [0.690, 0.690, 0.875], [0.973, 0.973, 0.677], [0.000, 0.000, 0.000], [0.356, 0.356, 0.805], [0.644, 0.644, 0.195]],
  "crystal_system": "monoclinic",
  "delta_e_f_ev_per_atom": -0.2406
}

{
  "formula": "SmTmIrAu",
  "functional": "PBE",
  "state": "optimized geometry",
  "lattice_angstrom": [[0.000, 3.528, 3.528], [3.528, 0.000, 3.528], [3.528, 3.528, 0.000]],
  "species": ["Sm", "Tm", "Ir", "Au"],
  "fractional_positions": [[0.000, 0.000, 0.000], [0.500, 0.500, 0.500], [0.250, 0.250, 0.250], [0.750, 0.750, 0.750]],
  "crystal_system": "cubic",
  "delta_e_f_ev_per_atom": -0.7881
}

{
  "formula": "RbCdCu2As",
  "functional": "PBE",
  "state": "optimized geometry",
  "lattice_angstrom": [[5.190, 0.000, 0.000], [0.000, 5.190, 0.000], [0.000, 0.000, 6.035]],
  "species": ["Rb", "Cd", "Cu", "Cu", "As"],
  "fractional_positions": [[0.000, 0.000, 0.000], [0.000, 0.000, 0.500], [0.000, 0.500, 0.000], [0.500, 0.000, 0.000], [0.500, 0.500, 0.500]],
  "crystal_system": "tetragonal",
  "delta_e_f_ev_per_atom": 1.6432
}

{
  "formula": "SmTmPt",
  "functional": "PBE",
  "state": "optimized geometry",
  "lattice_angstrom": [[0.000, 3.454, 3.454], [3.454, 0.000, 3.454], [3.454, 3.454, 0.000]],
  "species": ["Sm", "Tm", "Pt"],
  "fractional_positions": [[0.000, 0.000, 0.000], [0.500, 0.500, 0.500], [0.250, 0.250, 0.250]],
  "crystal_system": "cubic",
  "delta_e_f_ev_per_atom": -0.8428
}

{
  "formula": "TlSe4Cl",
  "functional": "PBE",
  "state": "optimized geometry",
  "lattice_angstrom": [[0.000, 4.148, 4.148], [4.148, 0.000, 4.148], [4.148, 4.148, 0.000]],
  "species": ["Tl", "Se", "Se", "Se", "Se", "Cl"],
  "fractional_positions": [[0.000, 0.000, 0.000], [0.380, 0.380, 0.380], [0.380, 0.380, 0.860], [0.380, 0.860, 0.380], [0.860, 0.380, 0.380], [0.750, 0.750, 0.750]],
  "crystal_system": "cubic",
  "formation_energy_uncorrected_ev_per_atom": 0.1879
}

{
  "formula": "SnAsN2",
  "functional": "PBE",
  "state": "optimized geometry",
  "lattice_angstrom": [[1.637, 0.945, 6.250], [-1.637, 0.945, 6.250], [0.000, -1.890, 6.250]],
  "species": ["Sn", "As", "N", "N"],
  "fractional_positions": [[0.000, 0.000, 0.000], [0.500, 0.500, 0.500], [0.394, 0.394, 0.394], [0.606, 0.606, 0.606]],
  "crystal_system": "trigonal",
  "formation_energy_uncorrected_ev_per_atom": 0.5251
}

no.,VASP energy (eV/f.u.)
1,-41.32
2,-24.48
3,-6.51
4,-17.76
5,-17.02
6,-23.20